No. 1
In2SiN2 | PBE | optimized geometry

Summary:
ΔE_f (raw) in eV/atom: 0.98
Theoretical density in g cm⁻³: 5.856
Crystal system: tetragonal
Total magnetic moment in μB/cell: 0.0

Lattice parameters (Å, degrees): 4.152 4.152 9.399 90.00 90.00 90.00
Space group I4/mmm (No. 139)
One atom of each set of equivalent atoms:
1 In 0.000 0.000 0.157 [4 per cell]
2 Si 0.000 0.000 0.500 [2 per cell]
3 N 0.000 0.500 0.250 [4 per cell]

No. 2
InSiN2 | PBE | optimized geometry

Summary:
ΔE_f (raw) in eV/atom: -0.29
Theoretical density in g cm⁻³: 5.468
Crystal system: tetragonal
Total magnetic moment in μB/cell: 0.0

Lattice parameters (Å, degrees): 4.979 4.979 8.373 90.00 90.00 90.00
Space group I-42d (No. 122)
One atom of each set of equivalent atoms:
1 In 0.000 0.000 0.000 [4 per cell]
2 Si 0.000 0.000 0.500 [4 per cell]
3 N 0.136 0.250 0.625 [8 per cell]